A plane-wave DFT calculation with GGA-PBE was carried out for a relaxed Sm2InCl8 crystal.

a b c (Å): 7.1055 7.1055 6.9918
angles (deg): 101.38 101.38 75.86
Positions (direct):
Sm: 0.1811 0.1811 0.4472
Sm: 0.8189 0.8189 0.5528
In: 0.5000 0.5000 0.0000
Cl: 0.0632 0.0632 0.7475
Cl: 0.1643 0.5492 0.6926
Cl: 0.3182 0.3182 0.1821
Cl: 0.4508 0.8357 0.3074
Cl: 0.5492 0.1643 0.6926
Cl: 0.6818 0.6818 0.8179
Cl: 0.8357 0.4508 0.3074
Cl: 0.9368 0.9368 0.2525

Output
The space-group type is No. 12. As for the uncorrected formation energy: -1.841 eV per atom. The value obtained for the total energy is -47.198 eV/cell.